Entry 1:
# KCdInBr4, optimized geometry, DFT PBE-GGA
data_KCdInBr4
_chemical_formula_sum 'K2 Cd2 In2 Br8'
_cell_length_a 7.820
_cell_length_b 7.789
_cell_length_c 9.028
_cell_angle_alpha 90.00
_cell_angle_beta 107.78
_cell_angle_gamma 90.00
_space_group_name_H-M_alt 'P 1 21/m 1'
_space_group_IT_number 11
_space_group_name_Hall '-P 2yb'
loop_
_atom_site_label
_atom_site_type_symbol
_atom_site_fract_x
_atom_site_fract_y
_atom_site_fract_z
K1 K 0.217 0.250 0.061
Cd1 Cd 0.247 0.750 0.802
In1 In 0.246 0.250 0.565
Br1 Br 0.010 0.005 0.745
Br2 Br 0.442 0.750 0.614
Br3 Br 0.443 0.750 0.096
# ρ = 3716 kg/m³
# Uncorrected formation energy = -1.045 eV/atom
# V = 523.65 Å³/cell

Entry 2:
# K2CdIn3Br6, optimized geometry, DFT PBE-GGA
data_K2CdIn3Br6
_chemical_formula_sum 'K4 Cd2 In6 Br12'
_cell_length_a 8.067
_cell_length_b 13.986
_cell_length_c 8.141
_cell_angle_alpha 90.00
_cell_angle_beta 109.29
_cell_angle_gamma 90.00
_space_group_name_H-M_alt 'C 1 2/m 1'
_space_group_IT_number 12
_space_group_name_Hall '-C 2y'
loop_
_atom_site_label
_atom_site_type_symbol
_atom_site_fract_x
_atom_site_fract_y
_atom_site_fract_z
K1 K 0.000 0.165 0.000
Cd1 Cd 0.000 0.500 0.000
In1 In 0.000 0.000 0.500
In2 In 0.000 0.328 0.500
Br1 Br 0.239 0.500 0.752
Br2 Br 0.241 0.338 0.240
# ρ = 3886 kg/m³
# Uncorrected formation energy = -0.932 eV/atom
# V = 867.03 Å³/cell

Entry 3:
# KCdIn2Br8, optimized geometry, DFT PBE-GGA
data_KCdIn2Br8
_chemical_formula_sum 'K2 Cd2 In4 Br16'
_cell_length_a 10.205
_cell_length_b 10.205
_cell_length_c 8.987
_cell_angle_alpha 90.00
_cell_angle_beta 90.00
_cell_angle_gamma 90.00
_space_group_name_H-M_alt 'I -4 m 2'
_space_group_IT_number 119
_space_group_name_Hall 'I -4 -2'
loop_
_atom_site_label
_atom_site_type_symbol
_atom_site_fract_x
_atom_site_fract_y
_atom_site_fract_z
K1 K 0.000 0.000 0.000
Cd1 Cd 0.000 0.500 0.250
In1 In 0.000 0.000 0.500
In2 In 0.000 0.500 0.750
Br1 Br 0.000 0.205 0.324
Br2 Br 0.000 0.314 0.937
# ρ = 3621 kg/m³
# Uncorrected formation energy = -0.859 eV/atom
# V = 935.90 Å³/cell

Entry 4:
# KCd2InBr6, optimized geometry, DFT PBE-GGA
data_KCd2InBr6
_chemical_formula_sum 'K4 Cd8 In4 Br24'
_cell_length_a 15.228
_cell_length_b 13.460
_cell_length_c 7.932
_cell_angle_alpha 90.00
_cell_angle_beta 102.89
_cell_angle_gamma 90.00
_space_group_name_H-M_alt 'C 1 2/c 1'
_space_group_IT_number 15
_space_group_name_Hall '-C 2yc'
loop_
_atom_site_label
_atom_site_type_symbol
_atom_site_fract_x
_atom_site_fract_y
_atom_site_fract_z
K1 K 0.000 0.185 0.250
Cd1 Cd 0.210 0.096 0.751
In1 In 0.000 0.406 0.750
Br1 Br 0.116 0.397 0.152
Br2 Br 0.133 0.044 0.017
Br3 Br 0.135 0.259 0.617
# ρ = 3597 kg/m³
# Uncorrected formation energy = -0.986 eV/atom
# V = 1584.87 Å³/cell

Entry 5:
# KCdInSbBr, optimized geometry, DFT PBE-GGA
data_KCdInSbBr
_chemical_formula_sum 'K2 Cd2 In2 Sb2 Br2'
_cell_length_a 8.371
_cell_length_b 4.836
_cell_length_c 8.931
_cell_angle_alpha 90.00
_cell_angle_beta 90.08
_cell_angle_gamma 90.00
_space_group_name_H-M_alt 'C 1 m 1'
_space_group_IT_number 8
_space_group_name_Hall 'C -2y'
loop_
_atom_site_label
_atom_site_type_symbol
_atom_site_fract_x
_atom_site_fract_y
_atom_site_fract_z
K1 K 0.000 0.000 0.000
Cd1 Cd 0.166 0.500 0.700
In1 In 0.497 0.500 0.430
Sb1 Sb 0.332 0.000 0.675
Br1 Br 0.166 0.500 0.191
# ρ = 4299 kg/m³
# Uncorrected formation energy = -0.561 eV/atom
# V = 361.51 Å³/cell
# Offset from the most stable computed form = 0 meV per atom

Entry 6:
# KCdInSbBr, optimized geometry, DFT PBE-GGA
data_KCdInSbBr
_chemical_formula_sum 'K1 Cd1 In1 Sb1 Br1'
_cell_length_a 4.988
_cell_length_b 4.425
_cell_length_c 8.562
_cell_angle_alpha 90.00
_cell_angle_beta 101.49
_cell_angle_gamma 90.00
_space_group_name_H-M_alt 'P 1 m 1'
_space_group_IT_number 6
_space_group_name_Hall 'P -2y'
loop_
_atom_site_label
_atom_site_type_symbol
_atom_site_fract_x
_atom_site_fract_y
_atom_site_fract_z
K1 K 0.000 0.000 0.000
Cd1 Cd 0.872 0.000 0.510
In1 In 0.564 0.500 0.595
Sb1 Sb 0.076 0.500 0.358
Br1 Br 0.472 0.500 0.919
# ρ = 4195 kg/m³
# Uncorrected formation energy = -0.470 eV/atom
# V = 185.23 Å³/cell
# Offset from the most stable computed form = 92 meV per atom